one | Computed, not measured: TiCrAg after structural relaxation at the GGA-PBE level of DFT.

Cell lengths 6.096, 6.096, 6.096 Å; angles 90.00, 90.00, 90.00 degrees
Atoms (fractional coordinates):
Ti  0.000  0.000  0.000
Ti  0.000  0.500  0.500
Ti  0.500  0.000  0.500
Ti  0.500  0.500  0.000
Cr  0.250  0.250  0.250
Cr  0.250  0.750  0.750
Cr  0.750  0.250  0.750
Cr  0.750  0.750  0.250
Ag  0.000  0.000  0.500
Ag  0.000  0.500  0.000
Ag  0.500  0.000  0.000
Ag  0.500  0.500  0.500

Properties
As for the symmetry: No. 216.

two | Computed, not measured: TiCrAg after structural relaxation at the GGA-PBE level of DFT.

Cell lengths 2.879, 2.879, 11.131 Å; angles 90.00, 90.00, 90.00 degrees
Atoms (fractional coordinates):
Ti  0.250  0.250  0.210
Ti  0.750  0.750  0.790
Cr  0.250  0.250  0.942
Cr  0.750  0.750  0.058
Ag  0.250  0.250  0.597
Ag  0.750  0.750  0.403

Properties
As for the symmetry: No. 129.

Tell me which of them is the least stable. Sure, it is one.

one | Computed, not measured: Ti2CrAg after structural relaxation at the GGA-PBE level of DFT.

Cell lengths 6.282, 6.282, 6.282 Å; angles 90.00, 90.00, 90.00 degrees
Atoms (fractional coordinates):
Ti  0.250  0.250  0.250
Ti  0.250  0.250  0.750
Ti  0.250  0.750  0.250
Ti  0.250  0.750  0.750
Ti  0.750  0.250  0.250
Ti  0.750  0.250  0.750
Ti  0.750  0.750  0.250
Ti  0.750  0.750  0.750
Cr  0.000  0.000  0.000
Cr  0.000  0.500  0.500
Cr  0.500  0.000  0.500
Cr  0.500  0.500  0.000
Ag  0.000  0.000  0.500
Ag  0.000  0.500  0.000
Ag  0.500  0.000  0.000
Ag  0.500  0.500  0.500

Properties
As for the symmetry: No. 225.

two | Computed, not measured: Ti2CrAg after structural relaxation at the GGA-PBE level of DFT.

Cell lengths 3.864, 3.864, 18.087 Å; angles 90.00, 90.00, 90.00 degrees
Atoms (fractional coordinates):
Ti  0.232  0.250  0.125
Ti  0.250  0.732  0.375
Ti  0.250  0.768  0.875
Ti  0.268  0.250  0.625
Ti  0.732  0.750  0.625
Ti  0.750  0.232  0.875
Ti  0.750  0.268  0.375
Ti  0.768  0.750  0.125
Cr  0.000  0.000  0.000
Cr  0.000  0.500  0.250
Cr  0.500  0.000  0.750
Cr  0.500  0.500  0.500
Ag  0.000  0.000  0.500
Ag  0.000  0.500  0.750
Ag  0.500  0.000  0.250
Ag  0.500  0.500  0.000

Properties
As for the symmetry: No. 122.

three | Computed, not measured: Ti2CrAg after structural relaxation at the GGA-PBE level of DFT.

Cell lengths 3.029, 3.029, 6.876 Å; angles 90.00, 90.00, 90.00 degrees
Atoms (fractional coordinates):
Ti  0.000  0.000  0.207
Ti  0.000  0.000  0.793
Cr  0.500  0.500  0.000
Ag  0.500  0.500  0.500

Properties
As for the symmetry: No. 123.

Tell me which of them is the least stable. Sure, it is two.

one | Computed, not measured: TiCr2Ag after structural relaxation at the GGA-PBE level of DFT.

Cell lengths 3.682, 3.682, 18.382 Å; angles 90.00, 90.00, 90.00 degrees
Atoms (fractional coordinates):
Ti  0.000  0.000  0.000
Ti  0.000  0.500  0.250
Ti  0.500  0.000  0.750
Ti  0.500  0.500  0.500
Cr  0.198  0.250  0.125
Cr  0.250  0.698  0.375
Cr  0.250  0.802  0.875
Cr  0.302  0.250  0.625
Cr  0.698  0.750  0.625
Cr  0.750  0.198  0.875
Cr  0.750  0.302  0.375
Cr  0.802  0.750  0.125
Ag  0.000  0.000  0.500
Ag  0.000  0.500  0.750
Ag  0.500  0.000  0.250
Ag  0.500  0.500  0.000

Properties
As for the symmetry: No. 122.

two | Computed, not measured: TiCr2Ag after structural relaxation at the GGA-PBE level of DFT.

Cell lengths 6.315, 6.315, 6.315 Å; angles 90.00, 90.00, 90.00 degrees
Atoms (fractional coordinates):
Ti  0.000  0.000  0.000
Ti  0.000  0.500  0.500
Ti  0.500  0.000  0.500
Ti  0.500  0.500  0.000
Cr  0.250  0.250  0.250
Cr  0.250  0.250  0.750
Cr  0.250  0.750  0.250
Cr  0.250  0.750  0.750
Cr  0.750  0.250  0.250
Cr  0.750  0.250  0.750
Cr  0.750  0.750  0.250
Cr  0.750  0.750  0.750
Ag  0.000  0.000  0.500
Ag  0.000  0.500  0.000
Ag  0.500  0.000  0.000
Ag  0.500  0.500  0.500

Properties
As for the symmetry: No. 225.

Tell me which of them is the least stable. Sure, it is one.

one | Computed, not measured: Tl2CrAg after structural relaxation at the GGA-PBE level of DFT.

Cell lengths 3.568, 3.568, 6.913 Å; angles 90.00, 90.00, 90.00 degrees
Atoms (fractional coordinates):
Tl  0.000  0.000  0.245
Tl  0.000  0.000  0.755
Cr  0.500  0.500  0.000
Ag  0.500  0.500  0.500

Properties
As for the symmetry: No. 123.

two | Computed, not measured: Tl2CrAg after structural relaxation at the GGA-PBE level of DFT.

Cell lengths 4.392, 4.392, 19.033 Å; angles 90.00, 90.00, 90.00 degrees
Atoms (fractional coordinates):
Tl  0.233  0.250  0.125
Tl  0.250  0.733  0.375
Tl  0.250  0.767  0.875
Tl  0.267  0.250  0.625
Tl  0.733  0.750  0.625
Tl  0.750  0.233  0.875
Tl  0.750  0.267  0.375
Tl  0.767  0.750  0.125
Cr  0.000  0.000  0.000
Cr  0.000  0.500  0.250
Cr  0.500  0.000  0.750
Cr  0.500  0.500  0.500
Ag  0.000  0.000  0.500
Ag  0.000  0.500  0.750
Ag  0.500  0.000  0.250
Ag  0.500  0.500  0.000

Properties
As for the symmetry: No. 122.

three | Computed, not measured: Tl2CrAg after structural relaxation at the GGA-PBE level of DFT.

Cell lengths 7.038, 7.038, 7.038 Å; angles 90.00, 90.00, 90.00 degrees
Atoms (fractional coordinates):
Tl  0.250  0.250  0.250
Tl  0.250  0.250  0.750
Tl  0.250  0.750  0.250
Tl  0.250  0.750  0.750
Tl  0.750  0.250  0.250
Tl  0.750  0.250  0.750
Tl  0.750  0.750  0.250
Tl  0.750  0.750  0.750
Cr  0.000  0.000  0.000
Cr  0.000  0.500  0.500
Cr  0.500  0.000  0.500
Cr  0.500  0.500  0.000
Ag  0.000  0.000  0.500
Ag  0.000  0.500  0.000
Ag  0.500  0.000  0.000
Ag  0.500  0.500  0.500

Properties
As for the symmetry: No. 225.

four | Computed, not measured: Tl2CrAg after structural relaxation at the GGA-PBE level of DFT.

Cell lengths 3.360, 3.360, 27.427 Å; angles 90.00, 90.00, 120.00 degrees
Atoms (fractional coordinates):
Tl  0.000  0.000  0.248
Tl  0.000  0.000  0.752
Tl  0.333  0.667  0.418
Tl  0.333  0.667  0.915
Tl  0.667  0.333  0.085
Tl  0.667  0.333  0.582
Cr  0.000  0.000  0.500
Cr  0.333  0.667  0.167
Cr  0.667  0.333  0.833
Ag  0.000  0.000  0.000
Ag  0.333  0.667  0.667
Ag  0.667  0.333  0.333

Properties
As for the symmetry: No. 166.

Tell me which of them is the least stable. Sure, it is two.